The following is a DFT calculation (PBE) of an optimized crystal structure of MnCd2.

## Properties
**E_form**: 249 meV/atom
**Mass density**: 7.95 Mg/m³
**E_tot**: -10.25 eV for the cell shown

```
data_MnCd2
_chemical_formula_sum 'Mn1 Cd2'
_symmetry_space_group_name_H-M 'P -3 m 1'
_symmetry_Int_Tables_number 164
_symmetry_space_group_name_Hall '-P 3 2"'
_cell_length_a 3.0550
_cell_length_b 3.0550
_cell_length_c 7.2313
_cell_angle_alpha 90.00
_cell_angle_beta 90.00
_cell_angle_gamma 120.00
loop_
_atom_site_label
_atom_site_type_symbol
_atom_site_fract_x
_atom_site_fract_y
_atom_site_fract_z
Mn1 Mn 0.0000 0.0000 0.0000
Cd1 Cd 0.3333 0.6667 0.6823
```


The following is a DFT calculation (PBE) of an optimized crystal structure of La4Pr3Pt4.

## Properties
**E_form**: -794 meV/atom
**Mass density**: 9.44 Mg/m³
**E_tot**: -133.89 eV for the cell shown

```
data_La4Pr3Pt4
_chemical_formula_sum 'La8 Pr6 Pt8'
_symmetry_space_group_name_H-M 'I m m m'
_symmetry_Int_Tables_number 71
_symmetry_space_group_name_Hall '-I 2 2'
_cell_length_a 4.865
_cell_length_b 7.849
_cell_length_c 16.204
_cell_angle_alpha 90.00
_cell_angle_beta 90.00
_cell_angle_gamma 90.00
loop_
_atom_site_label
_atom_site_type_symbol
_atom_site_fract_x
_atom_site_fract_y
_atom_site_fract_z
La1 La 0.000 0.221 0.167
Pr1 Pr 0.000 0.000 0.406
Pr2 Pr 0.000 0.500 0.500
Pt1 Pt 0.000 0.313 0.000
Pt2 Pt 0.000 0.500 0.301
```


The following is a DFT calculation (PBE) of an optimized crystal structure of BeCrRu.

## Properties
**E_form**: -173 meV/atom
**Mass density**: 8.06 Mg/m³
**E_tot**: -46.29 eV for the cell shown

```
data_BeCrRu
_chemical_formula_sum 'Be2 Cr2 Ru2'
_symmetry_space_group_name_H-M 'P 1 21/m 1'
_symmetry_Int_Tables_number 11
_symmetry_space_group_name_Hall '-P 2yb'
_cell_length_a 2.873
_cell_length_b 3.800
_cell_length_c 6.286
_cell_angle_alpha 90.00
_cell_angle_beta 103.20
_cell_angle_gamma 90.00
loop_
_atom_site_label
_atom_site_type_symbol
_atom_site_fract_x
_atom_site_fract_y
_atom_site_fract_z
Be1 Be 0.088 0.250 0.177
Cr1 Cr 0.248 0.750 0.496
Ru1 Ru 0.418 0.250 0.837
```